Record 1
SrCaIn2Br6 | Alexandria | PBE | optimized geometry; ρ = 3.6 g/cm³; formation energy from raw total energies = -1.498 eV per atom; magnetic moment = 0.000 μB per formula unit; total DFT energy (no corrections) = -3.42 eV per atom; density of states at the Fermi level = 0.0 states/eV per cell
1.0
-2.246 4.364 6.362
-4.896 -3.166 5.527
3.020 -1.887 7.443
Br Ca In Sr
6 1 2 1
Cartesian
-1.976 -1.549 12.346
0.325 1.134 10.537
-4.288 1.914 11.398
-0.164 -2.465 8.932
-4.395 -2.819 8.449
-1.394 1.516 6.640
-2.157 0.305 4.107
-2.499 -0.160 9.386
2.594 -1.707 7.169
-4.199 -0.048 13.785

Record 2
CaTbInBr6 | Alexandria | PBE | optimized geometry; ρ = 3.8 g/cm³; formation energy from raw total energies = -1.673 eV per atom; magnetic moment = 0.000 μB per formula unit; total DFT energy (no corrections) = -3.83 eV per atom; density of states at the Fermi level = 0.0 states/eV per cell
1.0
-2.160 -1.817 6.897
3.703 -4.944 -4.169
12.420 4.928 5.189
Br Ca Tb In
12 2 2 2
Cartesian
10.791 -2.422 1.673
13.066 1.088 1.886
3.172 0.588 6.244
9.262 1.282 1.815
11.319 1.758 5.432
4.701 -3.115 6.102
5.055 -0.677 2.938
2.645 -3.592 2.484
0.925 -0.048 3.234
8.908 -1.156 4.978
13.038 -1.785 4.682
0.897 -2.922 6.031
4.854 -2.670 0.817
9.109 0.836 7.100
11.064 -0.206 3.411
2.899 -1.628 4.506
0.000 0.000 0.000
6.210 2.464 2.594

Record 3
CaInTc2Br | Alexandria | PBE | optimized geometry; ρ = 5.8 g/cm³; formation energy from raw total energies = 1.040 eV per atom; magnetic moment = 2.203 μB per formula unit; total DFT energy (no corrections) = -4.39 eV per atom; density of states at the Fermi level = 4.2 states/eV per cell
1.0
-1.246 -3.682 -2.600
5.373 -1.753 -0.094
-0.745 -2.492 3.887
Br Tc In Ca
1 2 1 1
Cartesian
0.000 0.000 0.000
-0.623 -1.841 -1.300
-0.373 -1.246 1.943
2.687 -0.876 -0.047
1.691 -3.964 0.597

Record 4
CaTiInBr6 | Alexandria | PBE | optimized geometry; ρ = 3.6 g/cm³; formation energy from raw total energies = -1.336 eV per atom; magnetic moment = 1.000 μB per formula unit; total DFT energy (no corrections) = -3.85 eV per atom; density of states at the Fermi level = 6.5 states/eV per cell
1.0
7.190 0.000 0.001
3.595 6.227 0.002
0.000 -0.001 7.091
In Ca Br Ti
1 1 6 1
Cartesian
7.190 0.000 0.001
7.190 4.151 3.547
1.484 2.181 2.011
2.631 0.193 5.080
4.743 3.851 2.012
4.559 0.194 2.011
2.447 3.851 5.081
5.707 2.181 5.081
3.595 2.075 3.546

Among the records above, which one has the highest total DFT energy (no corrections)? SrCaIn2Br6